This record from Alexandria via LeMat-Bulk describes an optimized crystal structure of Ba2ScTlO5. The functional is GGA-PBE.

Summary:
For the formation energy (no corrections), the calculation gives -20.74 eV/f.u. Its symmetry is Cmc2_1, No. 36.

a b c (Å): 3.667 7.481 11.462
angles (deg): 90.00 90.00 104.19
Atoms (fractional coordinates):
Ba: 0.859 0.717 0.798
Ba: 0.104 0.208 0.687
Ba: 0.141 0.283 0.298
Ba: 0.896 0.792 0.187
Sc: 0.526 0.053 0.960
Sc: 0.474 0.947 0.460
Tl: 0.783 0.565 0.514
Tl: 0.217 0.435 0.014
O: 0.382 0.763 0.000
O: 0.681 0.361 0.892
O: 0.496 0.992 0.792
O: 0.283 0.565 0.647
O: 0.950 0.900 0.532
O: 0.618 0.237 0.500
O: 0.319 0.639 0.392
O: 0.504 0.008 0.292
O: 0.717 0.435 0.147
O: 0.050 0.100 0.032